Crystalline MnSiPbO4 at its relaxed geometry. Source: the Alexandria database, functional PBE+U.

Values from the calculation:
VASP energy ... -7.157 eV per atom
Space group ... No. 11

Cell: 5.595 5.592 6.818 Å, 90.00 104.59 90.00°
Fractional coordinates of all 14 atoms:
O 0.459 0.750 0.196
Pb 0.711 0.750 0.891
Mn 0.195 0.250 0.564
Si 0.724 0.250 0.649
O 0.916 0.482 0.686
O 0.084 0.982 0.314
O 0.084 0.518 0.314
Pb 0.289 0.250 0.109
O 0.916 0.018 0.686
Mn 0.805 0.750 0.436
O 0.550 0.250 0.418
O 0.450 0.750 0.582
O 0.541 0.250 0.804
Si 0.276 0.750 0.351